K2US4 | GGA-PBE | relaxed

Unit cell a=7.843 b=12.732 c=4.145 alpha=90.00 beta=90.00 gamma=90.00
Sites, in units of the cell vectors:
1 K 0.077 0.180 0.000
2 K 0.423 0.680 0.000
3 K 0.577 0.320 0.000
4 K 0.923 0.820 0.000
5 U 0.000 0.500 0.500
6 U 0.500 0.000 0.500
7 S 0.121 0.677 0.500
8 S 0.195 0.451 0.000
9 S 0.305 0.951 0.000
10 S 0.379 0.177 0.500
11 S 0.621 0.823 0.500
12 S 0.695 0.049 0.000
13 S 0.805 0.549 0.000
14 S 0.879 0.323 0.500

Computed properties:
As for the crystal system: orthorhombic. The value obtained for the raw total energy is -5.5586 eV/atom. The value obtained for the relative energy among the computed polymorphs is 6 meV per atom. For the formation energy (no corrections), the calculation gives -1.2739 eV/atom.


K2U2S7 | GGA-PBE | relaxed

Unit cell a=6.328 b=6.328 c=7.531 alpha=90.00 beta=90.00 gamma=97.69
Sites, in units of the cell vectors:
1 K 0.233 0.233 0.000
2 K 0.767 0.767 0.000
3 U 0.277 0.723 0.500
4 U 0.723 0.277 0.500
5 S 0.000 0.000 0.500
6 S 0.000 0.500 0.286
7 S 0.000 0.500 0.714
8 S 0.500 0.000 0.286
9 S 0.500 0.000 0.714
10 S 0.500 0.500 0.293
11 S 0.500 0.500 0.707

Computed properties:
As for the density of states at the Fermi level: 0.646 states/eV per atom. As for the crystal system: orthorhombic. The value obtained for the raw total energy is -5.9975 eV/atom. For the formation energy (no corrections), the calculation gives -1.1190 eV/atom.